Entry from Alexandria via LeMat-Bulk: a relaxed Ti2NbRu3 crystal (GGA-PBE).

## Properties
DOS at the Fermi energy (states/eV per atom): 0.5213
Formation energy (eV per atom): -0.5817
VASP energy (eV/cell): -57.18

CIF file:
```
data_Ti2NbRu3
_chemical_formula_sum 'Ti2 Nb1 Ru3'
_cell_length_a 3.086
_cell_length_b 3.086
_cell_length_c 9.500
_cell_angle_alpha 90.00
_cell_angle_beta 90.00
_cell_angle_gamma 90.00
_space_group_name_H-M_alt 'P 4/m m m'
_space_group_IT_number 123
_space_group_name_Hall '-P 4 2'
loop_
_atom_site_label
_atom_site_type_symbol
_atom_site_fract_x
_atom_site_fract_y
_atom_site_fract_z
Ti1 Ti 0.000 0.000 0.163
Nb1 Nb 0.000 0.000 0.500
Ru1 Ru 0.500 0.500 0.000
Ru2 Ru 0.500 0.500 0.320
```